VASP calculation (PBE) on an optimized crystal structure of NaTi2Mn2.

Calculated values
Space-group type: P4/mbm (127)
DOS at the Fermi energy (states/eV/f.u.): 5.318
Formation enthalpy at 0 K (kJ/mol of formula units): 148

Cell lengths 7.564, 7.564, 2.937 Å; angles 90.00, 90.00, 90.00 degrees
Positions (direct):
Na 0.000 0.000 0.000
Na 0.500 0.500 0.000
Ti 0.144 0.356 0.500
Ti 0.356 0.856 0.500
Ti 0.644 0.144 0.500
Ti 0.856 0.644 0.500
Mn 0.135 0.635 0.000
Mn 0.365 0.135 0.000
Mn 0.635 0.865 0.000
Mn 0.865 0.365 0.000

***

VASP calculation (PBE) on an optimized crystal structure of NaTiMn3.

Calculated values
Space-group type: Pm-3m (221)
Offset from the most stable computed form (meV/atom): 0.0
DOS at the Fermi energy (states/eV/f.u.): 4.741
Formation enthalpy at 0 K (kJ/mol of formula units): 482

Cell lengths 4.694, 4.694, 4.694 Å; angles 90.00, 90.00, 90.00 degrees
Positions (direct):
Na 0.000 0.000 0.000
Ti 0.500 0.500 0.500
Mn 0.000 0.500 0.500
Mn 0.500 0.000 0.500
Mn 0.500 0.500 0.000

***

VASP calculation (PBE) on an optimized crystal structure of NaTi2MnTl.

Calculated values
Space-group type: P4/mmm (123)
DOS at the Fermi energy (states/eV/f.u.): 5.903
Formation enthalpy at 0 K (kJ/mol of formula units): 300

Cell lengths 4.461, 4.461, 5.408 Å; angles 90.00, 90.00, 90.00 degrees
Positions (direct):
Na 0.000 0.000 0.000
Ti 0.000 0.500 0.500
Ti 0.500 0.000 0.500
Mn 0.000 0.000 0.500
Tl 0.500 0.500 0.000

***

VASP calculation (PBE) on an optimized crystal structure of NaYTiMn2.

Calculated values
Space-group type: P4/mmm (123)
DOS at the Fermi energy (states/eV/f.u.): 7.799
Formation enthalpy at 0 K (kJ/mol of formula units): 780

Cell lengths 4.849, 4.849, 5.069 Å; angles 90.00, 90.00, 90.00 degrees
Positions (direct):
Na 0.000 0.000 0.000
Y 0.000 0.000 0.500
Ti 0.500 0.500 0.000
Mn 0.000 0.500 0.500
Mn 0.500 0.000 0.500

***

VASP calculation (PBE) on an optimized crystal structure of NaMn3Tl.

Calculated values
Space-group type: Pm-3m (221)
Offset from the most stable computed form (meV/atom): 0.0
DOS at the Fermi energy (states/eV/f.u.): 4.523
Formation enthalpy at 0 K (kJ/mol of formula units): 543

Cell lengths 5.225, 5.225, 5.225 Å; angles 90.00, 90.00, 90.00 degrees
Positions (direct):
Na 0.000 0.000 0.000
Mn 0.000 0.500 0.500
Mn 0.500 0.000 0.500
Mn 0.500 0.500 0.000
Tl 0.500 0.500 0.500

***

VASP calculation (PBE) on an optimized crystal structure of NaMnTl3.

Calculated values
Space-group type: Pm-3m (221)
Offset from the most stable computed form (meV/atom): 0.0
DOS at the Fermi energy (states/eV/f.u.): 2.993
Formation enthalpy at 0 K (kJ/mol of formula units): 109

Cell lengths 5.240, 5.240, 5.240 Å; angles 90.00, 90.00, 90.00 degrees
Positions (direct):
Na 0.000 0.000 0.000
Mn 0.500 0.500 0.500
Tl 0.000 0.500 0.500
Tl 0.500 0.000 0.500
Tl 0.500 0.500 0.000

***

| no. | calculated total energy (eV/atom) |
| --- | --- |
| 1 | -6.78 |
| 2 | -6.35 |
| 3 | -5.11 |
| 4 | -5.19 |
| 5 | -5.11 |
| 6 | -3.29 |